(1)
DFT (PBE-GGA) results for an optimized crystal structure of ZrPaMo2.

symmetry = No. 225
calculated density = 10.9 Mg/m³

Cell: 4.7997 4.7997 4.7997 Å, 60.00 60.00 60.00°
With the nearest neighbours (Å) after each atom.
Sites, in units of the cell vectors:
Mo 0.2500 0.2500 0.2500  4 Zr 2.94, 4 Pa 2.94
Zr 0.5000 0.5000 0.5000  8 Mo 2.94
Pa 0.0000 0.0000 0.0000  8 Mo 2.94
Mo 0.7500 0.7500 0.7500  4 Zr 2.94, 4 Pa 2.94

(2)
DFT (PBE-GGA) results for an optimized crystal structure of ZrPaMo2.

symmetry = No. 123
calculated density = 10.9 Mg/m³

Cell: 3.4059 3.4059 6.7522 Å, 90.00 90.00 90.00°
With the nearest neighbours (Å) after each atom.
Sites, in units of the cell vectors:
Mo 0.0000 0.0000 0.2610  4 Pa 2.90, 4 Zr 2.98, 1 Mo 3.23
Zr 0.5000 0.5000 0.0000  8 Mo 2.98
Pa 0.5000 0.5000 0.5000  8 Mo 2.90
Mo 0.0000 0.0000 0.7390  4 Pa 2.90, 4 Zr 2.98, 1 Mo 3.23

Computed relative energies in units of eV/atom: (1) 0.000; (2) 0.031

(1)
DFT (PBE-GGA) results for an optimized crystal structure of ZrPa2Mo.

symmetry = No. 123
calculated density = 11.7 Mg/m³

Cell: 3.3504 3.3504 8.2391 Å, 90.00 90.00 90.00°
With the nearest neighbours (Å) after each atom.
Sites, in units of the cell vectors:
Zr 0.5000 0.5000 0.5000  8 Pa 3.33, 4 Zr 3.35
Pa 0.0000 0.0000 0.7834  4 Mo 2.97
Pa 0.0000 0.0000 0.2166  4 Mo 2.97
Mo 0.5000 0.5000 0.0000  8 Pa 2.97

(2)
DFT (PBE-GGA) results for an optimized crystal structure of ZrPa2Mo.

symmetry = No. 166
calculated density = 11.9 Mg/m³

Cell: 3.1402 3.1402 10.7612 Å, 81.61 81.61 60.00°
With the nearest neighbours (Å) after each atom.
Sites, in units of the cell vectors:
Pa 0.0940 0.0940 0.7180  3 Mo 2.94, 1 Zr 2.99, 6 Pa 3.14
Zr 0.0000 0.0000 0.0000  2 Pa 2.99, 6 Zr 3.14
Pa 0.9060 0.9060 0.2820  3 Mo 2.94, 1 Zr 2.99, 6 Pa 3.14
Mo 0.5000 0.5000 0.5000  6 Pa 2.94, 6 Mo 3.14

Computed relative energies in units of eV/atom: (1) 0.000; (2) 0.174

(1)
DFT (PBE-GGA) results for an optimized crystal structure of Mo2Pb.

symmetry = No. 194
calculated density = 11.4 Mg/m³

Cell: 5.4468 5.4468 9.0121 Å, 90.00 90.00 120.00°
With the nearest neighbours (Å) after each atom.
Sites, in units of the cell vectors:
Mo 0.3420 0.1710 0.2500  6 Mo 2.65-2.79
Mo 0.1710 0.8290 0.7500  6 Mo 2.65-2.79
Mo 0.6580 0.8290 0.7500  6 Mo 2.65-2.79
Pb 0.6667 0.3333 0.9365  12 Mo 3.20-3.21, 4 Pb 3.35-3.36
Mo 0.0000 0.0000 0.0000  6 Mo 2.77
Pb 0.3333 0.6667 0.0635  12 Mo 3.20-3.21, 4 Pb 3.35-3.36
Pb 0.6667 0.3333 0.5635  12 Mo 3.20-3.21, 4 Pb 3.35-3.36
Mo 0.1710 0.3420 0.7500  6 Mo 2.65-2.79
Mo 0.8290 0.1710 0.2500  6 Mo 2.65-2.79
Mo 0.0000 0.0000 0.5000  6 Mo 2.77
Mo 0.8290 0.6580 0.2500  6 Mo 2.65-2.79
Pb 0.3333 0.6667 0.4365  12 Mo 3.20-3.21, 4 Pb 3.35-3.36

(2)
DFT (PBE-GGA) results for an optimized crystal structure of Mo2Pb.

symmetry = No. 139
calculated density = 12.0 Mg/m³

Cell: 5.5789 5.5789 5.5789 Å, 145.51 145.51 49.58°
With the nearest neighbours (Å) after each atom.
Sites, in units of the cell vectors:
Mo 0.6829 0.6829 0.0000  4 Mo 2.70, 4 Pb 2.98
Mo 0.3171 0.3171 0.0000  4 Mo 2.70, 4 Pb 2.98
Pb 0.0000 0.0000 0.0000  10 Mo 2.98-3.21, 4 Pb 3.31

Computed relative energies in units of eV/atom: (1) 0.110; (2) 0.000

(1)
DFT (PBE-GGA) results for an optimized crystal structure of Mo2Pb.

symmetry = No. 164
calculated density = 11.9 Mg/m³

Cell: 4.6350 4.6352 2.9805 Å, 90.00 90.00 120.00°
With the nearest neighbours (Å) after each atom.
Sites, in units of the cell vectors:
Mo 0.3333 0.6666 0.6321  5 Mo 2.79-2.98, 3 Pb 2.89
Pb 0.0000 0.0000 0.0000  6 Mo 2.89, 2 Pb 2.98
Mo 0.6667 0.3334 0.3679  5 Mo 2.79-2.98, 3 Pb 2.89

(2)
DFT (PBE-GGA) results for an optimized crystal structure of Mo2Pb.

symmetry = No. 63
calculated density = 11.9 Mg/m³

Cell: 7.1282 7.1282 4.7517 Å, 90.00 90.00 152.59°
With the nearest neighbours (Å) after each atom.
Sites, in units of the cell vectors:
Mo 0.7697 0.2303 0.7500  2 Mo 2.61
Mo 0.2303 0.7697 0.2500  2 Mo 2.61
Pb 0.0929 0.9071 0.7500  10 Mo 2.92-3.04
Mo 0.4135 0.5865 0.7500  2 Mo 2.61, 4 Pb 2.92
Mo 0.5865 0.4135 0.2500  2 Mo 2.61, 4 Pb 2.92
Pb 0.9071 0.0929 0.2500  10 Mo 2.92-3.04

(3)
DFT (PBE-GGA) results for an optimized crystal structure of Mo2Pb.

symmetry = No. 123
calculated density = 10.4 Mg/m³

Cell: 3.6544 3.6544 4.7537 Å, 90.00 90.00 90.00°
With the nearest neighbours (Å) after each atom.
Sites, in units of the cell vectors:
Mo 0.0000 0.5000 0.5000  4 Mo 2.58
Pb 0.0000 0.0000 0.0000  8 Mo 3.00
Mo 0.5000 0.0000 0.5000  4 Mo 2.58

Computed relative energies in units of eV/atom: (1) 0.124; (2) 0.000; (3) 0.261

(1)
DFT (PBE-GGA) results for an optimized crystal structure of Mo2Pb.

symmetry = No. 205
calculated density = 9.4 Mg/m³

Cell: 6.5471 6.5471 6.5471 Å, 90.00 90.00 90.00°
With the nearest neighbours (Å) after each atom.
Sites, in units of the cell vectors:
Pb 0.5000 0.5000 0.0000  6 Mo 2.78
Mo 0.0983 0.5983 0.0983  1 Mo 2.23
Pb 0.0000 0.5000 0.5000  6 Mo 2.78
Mo 0.9017 0.4017 0.9017  1 Mo 2.23
Pb 0.0000 0.0000 0.0000  6 Mo 2.78
Mo 0.5983 0.9017 0.9017  1 Mo 2.23
Mo 0.9017 0.0983 0.4017  1 Mo 2.23
Mo 0.4017 0.4017 0.5983  1 Mo 2.23
Mo 0.0983 0.9017 0.5983  1 Mo 2.23
Mo 0.5983 0.5983 0.4017  1 Mo 2.23
Mo 0.4017 0.0983 0.0983  1 Mo 2.23
Pb 0.5000 0.0000 0.5000  6 Mo 2.78

(2)
DFT (PBE-GGA) results for an optimized crystal structure of Mo2Pb.

symmetry = No. 189
calculated density = 12.1 Mg/m³

Cell: 8.0156 8.0156 2.9641 Å, 90.00 90.00 120.00°
With the nearest neighbours (Å) after each atom.
Sites, in units of the cell vectors:
Mo 0.3570 0.3570 0.5000  5 Pb 2.86-2.98, 8 Mo 2.96-3.07
Mo 0.6900 0.6900 0.0000  4 Pb 2.77-2.89, 8 Mo 2.96-3.07
Mo 0.6430 0.0000 0.5000  5 Pb 2.86-2.98, 8 Mo 2.96-3.07
Mo 0.0000 0.6430 0.5000  5 Pb 2.86-2.98, 8 Mo 2.96-3.07
Mo 0.0000 0.3100 0.0000  4 Pb 2.77-2.89, 8 Mo 2.96-3.07
Pb 0.6667 0.3333 0.0000  9 Mo 2.77-2.98, 2 Pb 2.96
Mo 0.3100 0.0000 0.0000  4 Pb 2.77-2.89, 8 Mo 2.96-3.07
Pb 0.3333 0.6667 0.0000  9 Mo 2.77-2.98, 2 Pb 2.96
Pb 0.0000 0.0000 0.5000  9 Mo 2.86-2.89, 2 Pb 2.96

(3)
DFT (PBE-GGA) results for an optimized crystal structure of Mo2Pb.

symmetry = No. 164
calculated density = 10.7 Mg/m³

Cell: 3.2030 3.2030 6.9764 Å, 90.00 90.00 120.00°
With the nearest neighbours (Å) after each atom.
Sites, in units of the cell vectors:
Pb 0.0000 0.0000 0.0000  6 Pb 3.20, 6 Mo 3.23
Mo 0.3333 0.6667 0.3800  3 Mo 2.49
Mo 0.6667 0.3333 0.6200  3 Mo 2.49

(4)
DFT (PBE-GGA) results for an optimized crystal structure of Mo2Pb.

symmetry = No. 8
calculated density = 11.5 Mg/m³

Cell: 5.5285 5.5285 6.7833 Å, 78.61 78.61 34.67°
With the nearest neighbours (Å) after each atom.
Sites, in units of the cell vectors:
Mo 0.0103 0.0103 0.9725  2 Mo 2.55
Pb 0.0198 0.0198 0.4087  8 Mo 2.90-3.05
Mo 0.3015 0.3015 0.3595  2 Mo 2.58
Mo 0.6882 0.6882 0.6329  3 Mo 2.58-2.83, 1 Pb 2.88
Pb 0.7317 0.7317 0.0376  8 Mo 2.88-2.97
Mo 0.4153 0.4153 0.7554  3 Mo 2.55-2.83

Computed relative energies in units of eV/atom: (1) 0.900; (2) 0.208; (3) 0.000; (4) 0.088

(1)
DFT (PBE-GGA) results for an optimized crystal structure of MoPb3.

symmetry = No. 194
calculated density = 11.1 Mg/m³

Cell: 6.7073 6.7073 10.9980 Å, 90.00 90.00 120.00°
With the nearest neighbours (Å) after each atom.
Sites, in units of the cell vectors:
Mo 0.3333 0.6667 0.2500  12 Pb 3.35-3.36
Mo 0.0000 0.0000 0.5000  12 Pb 3.32-3.35
Pb 0.5000 0.5000 0.0000  8 Pb 3.35-3.39, 4 Mo 3.35-3.36
Pb 0.5000 0.0000 0.5000  4 Mo 3.35-3.36, 8 Pb 3.35-3.39
Pb 0.8402 0.6804 0.2500  8 Pb 3.22-3.49, 4 Mo 3.32-3.35
Pb 0.3196 0.1598 0.2500  8 Pb 3.22-3.49, 4 Mo 3.32-3.35
Pb 0.6804 0.8402 0.7500  8 Pb 3.22-3.49, 4 Mo 3.32-3.35
Pb 0.5000 0.5000 0.5000  8 Pb 3.35-3.39, 4 Mo 3.35-3.36
Pb 0.1598 0.3196 0.7500  8 Pb 3.22-3.49, 4 Mo 3.32-3.35
Pb 0.1598 0.8402 0.7500  8 Pb 3.22-3.49, 4 Mo 3.32-3.35
Mo 0.0000 0.0000 0.0000  12 Pb 3.32-3.35
Pb 0.0000 0.5000 0.5000  8 Pb 3.35-3.39, 4 Mo 3.35-3.36
Pb 0.5000 0.0000 0.0000  4 Mo 3.35-3.36, 8 Pb 3.35-3.39
Pb 0.8402 0.1598 0.2500  8 Pb 3.22-3.49, 4 Mo 3.32-3.35
Mo 0.6667 0.3333 0.7500  12 Pb 3.35-3.36
Pb 0.0000 0.5000 0.0000  8 Pb 3.35-3.39, 4 Mo 3.35-3.36

(2)
DFT (PBE-GGA) results for an optimized crystal structure of MoPb3.

symmetry = No. 221
calculated density = 7.5 Mg/m³

Cell: 5.4129 5.4129 5.4129 Å, 90.00 90.00 90.00°
With the nearest neighbours (Å) after each atom.
Sites, in units of the cell vectors:
Pb 0.0000 0.5000 0.0000  2 Mo 2.71
Mo 0.0000 0.0000 0.0000  6 Pb 2.71
Pb 0.0000 0.0000 0.5000  2 Mo 2.71
Pb 0.5000 0.0000 0.0000  2 Mo 2.71

Computed relative energies in units of eV/atom: (1) 0.237; (2) 0.000

(1)
DFT (PBE-GGA) results for an optimized crystal structure of MoPb3.

symmetry = No. 139
calculated density = 11.3 Mg/m³

Cell: 5.7127 5.7127 5.7127 Å, 130.41 130.41 72.75°
With the nearest neighbours (Å) after each atom.
Sites, in units of the cell vectors:
Mo 0.0000 0.0000 0.0000  12 Pb 3.32-3.39
Pb 0.5000 0.5000 0.0000  8 Pb 3.32, 4 Mo 3.39
Pb 0.7500 0.2500 0.5000  4 Mo 3.32, 8 Pb 3.32-3.39
Pb 0.2500 0.7500 0.5000  8 Pb 3.32-3.39, 4 Mo 3.32

(2)
DFT (PBE-GGA) results for an optimized crystal structure of MoPb3.

symmetry = No. 71
calculated density = 11.0 Mg/m³

Cell: 7.6165 7.6165 7.6165 Å, 155.47 143.56 44.42°
With the nearest neighbours (Å) after each atom.
Sites, in units of the cell vectors:
Pb 0.5000 0.5000 0.0000  4 Mo 2.88
Mo 0.0000 0.0000 0.0000  8 Pb 2.88-3.05
Pb 0.8168 0.3168 0.5000  2 Mo 3.05, 2 Pb 3.24
Pb 0.1832 0.6832 0.5000  2 Mo 3.05, 2 Pb 3.24

(3)
DFT (PBE-GGA) results for an optimized crystal structure of MoPb3.

symmetry = No. 62
calculated density = 11.7 Mg/m³

Cell: 5.8432 7.7348 8.9924 Å, 90.00 90.00 90.00°
With the nearest neighbours (Å) after each atom.
Sites, in units of the cell vectors:
Pb 0.1280 0.3231 0.0532  3 Mo 2.92-2.98, 1 Pb 3.26
Mo 0.5689 0.8700 0.7500  8 Pb 2.91-2.98
Pb 0.8720 0.6769 0.5532  3 Mo 2.92-2.98, 1 Pb 3.26
Pb 0.3720 0.8231 0.4468  3 Mo 2.92-2.98, 1 Pb 3.26
Pb 0.3896 0.5185 0.7500  2 Mo 2.91-2.92
Pb 0.8720 0.6769 0.9468  3 Mo 2.92-2.98, 1 Pb 3.26
Mo 0.4311 0.1300 0.2500  8 Pb 2.91-2.98
Mo 0.9311 0.3700 0.7500  8 Pb 2.91-2.98
Pb 0.3720 0.8231 0.0532  3 Mo 2.92-2.98, 1 Pb 3.26
Pb 0.6280 0.1769 0.5532  3 Mo 2.92-2.98, 1 Pb 3.26
Pb 0.6104 0.4815 0.2500  2 Mo 2.91-2.92
Pb 0.6280 0.1769 0.9468  3 Mo 2.92-2.98, 1 Pb 3.26
Pb 0.8896 0.9815 0.2500  2 Mo 2.91-2.92
Pb 0.1104 0.0185 0.7500  2 Mo 2.91-2.92
Mo 0.0689 0.6300 0.2500  8 Pb 2.91-2.98
Pb 0.1280 0.3231 0.4468  3 Mo 2.92-2.98, 1 Pb 3.26

(4)
DFT (PBE-GGA) results for an optimized crystal structure of MoPb3.

symmetry = No. 187
calculated density = 11.5 Mg/m³

Cell: 3.3498 3.3498 10.6670 Å, 90.00 90.00 120.00°
With the nearest neighbours (Å) after each atom.
Sites, in units of the cell vectors:
Pb 0.6667 0.3333 0.2098  3 Mo 2.96
Pb 0.0000 0.0000 0.5000  12 Pb 3.35-3.65
Pb 0.6667 0.3333 0.7902  3 Mo 2.96
Mo 0.0000 0.0000 0.0000  6 Pb 2.96

Computed relative energies in units of eV/atom: (1) 0.274; (2) 0.030; (3) 0.000; (4) 0.064

(1)
DFT (PBE-GGA) results for an optimized crystal structure of Mo2Pb3.

symmetry = No. 164
calculated density = 11.2 Mg/m³

Cell: 4.9187 4.9187 5.7468 Å, 90.00 90.00 120.00°
With the nearest neighbours (Å) after each atom.
Sites, in units of the cell vectors:
Pb 0.6667 0.3333 0.6042  2 Mo 2.78-2.97, 3 Pb 3.08
Pb 0.3333 0.6667 0.3958  2 Mo 2.78-2.97, 3 Pb 3.08
Mo 0.3333 0.6667 0.9125  5 Pb 2.78-2.97, 3 Mo 3.01
Mo 0.6667 0.3333 0.0875  5 Pb 2.78-2.97, 3 Mo 3.01
Pb 0.0000 0.0000 0.0000  6 Mo 2.88

(2)
DFT (PBE-GGA) results for an optimized crystal structure of Mo2Pb3.

symmetry = No. 43
calculated density = 10.8 Mg/m³

Cell: 12.4715 7.5225 10.2303 Å, 87.87 37.07 55.06°
With the nearest neighbours (Å) after each atom.
Sites, in units of the cell vectors:
Pb 0.4597 0.8338 0.3275  4 Mo 2.89-3.16
Pb 0.8385 0.1615 0.1615  2 Mo 2.91
Mo 0.6955 0.9129 0.2643  2 Mo 2.46
Mo 0.3371 0.5545 0.1227  2 Mo 2.46
Mo 0.1273 0.2643 0.9129  2 Mo 2.46
Mo 0.9857 0.1227 0.5545  2 Mo 2.46
Pb 0.3790 0.3275 0.8338  4 Mo 2.89-3.16
Pb 0.0885 0.4115 0.4115  2 Mo 2.91
Pb 0.4162 0.7903 0.8710  4 Mo 2.89-3.16
Pb 0.9225 0.8710 0.7903  4 Mo 2.89-3.16

Computed relative energies in units of eV/atom: (1) 0.126; (2) 0.000